A geometry-optimized CsSc2BePb structure. Source: the Alexandria database, functional GGA-PBE.

Lattice parameters (Å, degrees): 5.241 5.241 5.319 90.00 90.00 90.00
Positions (direct):
Cs 0.000 0.000 0.000
Sc 0.000 0.500 0.500
Sc 0.500 0.000 0.500
Be 0.000 0.000 0.500
Pb 0.500 0.500 0.000

- Calculated formation energy: 658 meV per atom